Density functional theory data (PBE) for a geometry-optimized RbLi3Zn4Br12 structure.

```
RbLi3Zn4Br12
1.0
7.304 4.217 3.521
-7.304 4.217 3.521
0.000 -8.434 3.521
Rb Li Zn Br
1 3 4 12
Direct
0.000 0.000 0.000
0.000 0.555 0.445
0.445 0.000 0.555
0.555 0.445 0.000
0.063 0.500 0.937
0.500 0.500 0.500
0.500 0.937 0.063
0.937 0.063 0.500
0.052 0.654 0.768
0.098 0.902 0.500
0.232 0.346 0.948
0.339 0.661 0.500
0.346 0.948 0.232
0.500 0.098 0.902
0.500 0.339 0.661
0.654 0.768 0.052
0.661 0.500 0.339
0.768 0.052 0.654
0.902 0.500 0.098
0.948 0.232 0.346
```

**ΔE_f (raw)**: -1.096 eV/atom

=====

Density functional theory data (PBE) for a geometry-optimized CaPr2Pd4 structure.

```
CaPr2Pd4
1.0
4.990 0.000 0.000
0.000 4.990 0.000
0.000 0.000 15.025
Ca Pr Pd
2 4 8
Direct
0.000 0.000 0.000
0.500 0.500 0.500
0.000 0.000 0.364
0.000 0.000 0.636
0.500 0.500 0.136
0.500 0.500 0.864
0.000 0.000 0.182
0.000 0.000 0.818
0.000 0.500 0.000
0.000 0.500 0.500
0.500 0.000 0.000
0.500 0.000 0.500
0.500 0.500 0.318
0.500 0.500 0.682
```

**Formation energy from the elements**: -0.143 eV/atom

=====

Density functional theory data (PBE) for a geometry-optimized CaAgRuF6 structure.

```
CaAgRuF6
1.0
5.190 0.000 0.000
0.000 5.190 0.000
0.000 0.000 10.500
Ca Ag Ru F
2 2 2 12
Direct
0.000 0.000 0.000
0.500 0.500 0.500
0.000 0.000 0.329
0.500 0.500 0.829
0.000 0.000 0.665
0.500 0.500 0.165
0.176 0.176 0.816
0.191 0.191 0.522
0.226 0.226 0.155
0.274 0.726 0.655
0.309 0.691 0.022
0.324 0.676 0.316
0.676 0.324 0.316
0.691 0.309 0.022
0.726 0.274 0.655
0.774 0.774 0.155
0.809 0.809 0.522
0.824 0.824 0.816
```

**ΔE_f (raw)**: -2.200 eV/atom

=====

Density functional theory data (PBE) for a geometry-optimized TlIn6Ga structure.

```
TlIn6Ga
1.0
5.412 0.000 0.000
0.000 5.412 0.000
0.000 0.000 7.340
Tl In Ga
1 6 1
Direct
0.000 0.000 0.000
0.000 0.500 0.262
0.000 0.500 0.738
0.500 0.000 0.262
0.500 0.000 0.738
0.500 0.500 0.000
0.500 0.500 0.500
0.000 0.000 0.500
```

**Formation energy from the elements**: 0.031 eV/atom

=====

Density functional theory data (PBE) for a geometry-optimized TaNiMo structure.

```
TaNiMo
1.0
2.706 0.000 0.000
0.000 2.706 0.000
0.000 0.000 12.251
Ta Ni Mo
2 2 2
Direct
0.000 0.000 0.000
0.500 0.500 0.500
0.000 0.000 0.659
0.500 0.500 0.159
0.000 0.000 0.309
0.500 0.500 0.809
```

**Formation energy from the elements**: -0.041 eV/atom

=====

Density functional theory data (PBE) for a geometry-optimized LiCd4Pd structure.

```
LiCd4Pd
1.0
4.381 0.000 0.000
0.000 4.333 0.000
-2.170 0.000 6.030
Li Cd Pd
1 4 1
Direct
0.000 0.000 0.000
0.151 0.500 0.305
0.347 0.000 0.689
0.653 0.000 0.311
0.849 0.500 0.695
0.500 0.500 0.000
```

**Formation energy from the elements**: -0.268 eV/atom

=====

Density functional theory data (PBE) for a geometry-optimized Pr2V2Ni15 structure.

```
Pr2V2Ni15
1.0
4.192 2.421 4.107
-4.192 2.421 4.107
0.000 -4.841 4.107
Pr V Ni
2 2 15
Direct
0.156 0.156 0.156
0.844 0.844 0.844
0.410 0.410 0.410
0.590 0.590 0.590
0.000 0.500 0.500
0.160 0.160 0.651
0.160 0.651 0.160
0.206 0.500 0.794
0.206 0.794 0.500
0.349 0.840 0.840
0.500 0.000 0.500
0.500 0.206 0.794
0.500 0.500 0.000
0.500 0.794 0.206
0.651 0.160 0.160
0.794 0.206 0.500
0.794 0.500 0.206
0.840 0.349 0.840
0.840 0.840 0.349
```

**Formation energy from the elements**: -0.210 eV/atom

=====

Density functional theory data (PBE) for a geometry-optimized FeHgBiPt structure.

```
FeHgBiPt
1.0
7.347 0.000 0.000
0.000 4.168 0.000
-2.359 0.000 5.891
Fe Hg Bi Pt
2 2 2 2
Direct
0.000 0.000 0.000
0.500 0.500 0.000
0.251 0.500 0.256
0.751 0.000 0.256
0.047 0.500 0.643
0.547 0.000 0.643
0.300 0.000 0.905
0.800 0.500 0.905
```

**Formation energy from the elements**: 0.153 eV/atom

=====

Density functional theory data (PBE) for a geometry-optimized Ba3IO4 structure.

```
Ba3IO4
1.0
5.498 0.000 0.000
0.000 8.816 0.000
0.000 0.000 8.364
Ba I O
6 2 8
Direct
0.250 0.011 0.155
0.250 0.489 0.155
0.250 0.750 0.609
0.750 0.250 0.391
0.750 0.511 0.845
0.750 0.989 0.845
0.250 0.250 0.779
0.750 0.750 0.221
0.250 0.002 0.806
0.250 0.250 0.311
0.250 0.498 0.806
0.250 0.750 0.294
0.750 0.250 0.706
0.750 0.502 0.194
0.750 0.750 0.689
0.750 0.998 0.194
```

**ΔE_f (raw)**: -1.859 eV/atom

=====

Density functional theory data (PBE) for a geometry-optimized VTc2SeBr structure.

```
VTc2SeBr
1.0
4.803 0.000 0.000
0.000 4.803 0.000
0.000 0.000 4.613
V Tc Se Br
1 2 1 1
Direct
0.000 0.000 0.000
0.000 0.500 0.000
0.500 0.000 0.000
0.000 0.000 0.500
0.500 0.500 0.500
```

**ΔE_f (raw)**: 1.113 eV/atom

=====

Density functional theory data (PBE) for a geometry-optimized Pm7NdHo4 structure.

```
Pm7NdHo4
1.0
6.304 0.000 0.000
-0.003 7.279 0.000
-2.101 -0.001 8.722
Pm Nd Ho
7 1 4
Direct
0.000 0.000 0.000
0.223 0.500 0.665
0.280 0.248 0.336
0.500 0.247 0.999
0.500 0.753 0.001
0.720 0.752 0.664
0.777 0.500 0.335
0.000 0.500 0.000
0.219 0.000 0.665
0.278 0.754 0.334
0.722 0.246 0.666
0.781 0.000 0.335
```

**Formation energy from the elements**: 0.001 eV/atom

=====

Density functional theory data (PBE) for a geometry-optimized Tb7Sm2Th3 structure.

```
Tb7Sm2Th3
1.0
5.522 0.000 0.000
0.010 6.072 0.000
0.005 0.294 12.260
Tb Sm Th
7 2 3
Direct
0.000 0.000 0.000
0.000 0.442 0.819
0.000 0.558 0.181
0.499 0.238 0.547
0.500 0.074 0.829
0.500 0.926 0.171
0.501 0.762 0.453
0.500 0.398 0.277
0.500 0.602 0.723
0.000 0.070 0.359
0.000 0.930 0.641
0.500 0.500 0.000
```

**Formation energy from the elements**: 0.352 eV/atom

=====

The evaluated V for the records listed, in turn: 32.53, 26.72, 15.71, 26.88, 14.95, 19.08, 13.16, 22.55, 25.34, 21.28, 33.35, 34.25 Å³/atom.
The evaluated total moment for the records listed, in turn: 0.0, 0.0, 1.0, 0.0, 0.0, 0.0, 2.1, 3.0, 0.2, 4.0, 0.0, 0.0 μB per formula unit.